Material: EuUIr2
Method: DFT, PBE-GGA
State: relaxed

Calculated formation energy (eV per formula unit): -1.917
Space-group type: P4/mmm (123)
Polymorph energy (0 for the lowest one) (meV/atom): 0
Uncorrected energy (eV/f.u.): -41.20

a b c (Å): 3.4243 3.4243 7.2982
angles (deg): 90.00 90.00 90.00
Last column: nearest neighbours and their distance in Å.
Element x y z (fractional)
Eu  0.5000  0.5000  0.5000  8 Ir 3.23, 4 Eu 3.42
Ir  0.0000  0.0000  0.7934  4 U 2.85, 1 Ir 3.02
Ir  0.0000  0.0000  0.2066  4 U 2.85, 1 Ir 3.02
U  0.5000  0.5000  0.0000  8 Ir 2.85